Density functional theory data (GGA-PBE) for a relaxed YBi2H crystal.

Cell and atoms, written as extended XYZ:
```
8
Lattice="-3.604 3.604 3.688 3.604 -3.604 3.688 3.604 3.604 -3.688" Properties=species:S:1:pos:R:3 pbc="T T T"
Y 0.000 0.000 0.000
Y 0.000 3.604 1.844
Bi 1.802 -1.067 2.766
Bi 2.537 1.802 0.922
Bi 1.802 4.671 -0.922
Bi 1.067 1.802 4.610
H 3.604 0.000 1.844
H 0.000 0.000 3.688
```

Calculated values
* magnetic moment: 0.00 Bohr magnetons per cell
* relative energy among the computed polymorphs: 0.00 kcal/mol of atoms

Density functional theory data (GGA-PBE) for a relaxed Ca2BeSnAu6 crystal.

Cell and atoms, written as extended XYZ:
```
20
Lattice="5.916 0.000 0.000 0.000 8.887 0.000 0.000 0.000 8.566" Properties=species:S:1:pos:R:3 pbc="T T T"
Ca 1.479 0.055 2.052
Ca 1.479 4.389 2.052
Ca 4.437 4.498 6.514
Ca 4.437 8.832 6.514
Be 1.479 2.222 6.178
Be 4.437 6.665 2.388
Sn 1.479 6.665 6.870
Sn 4.437 2.222 1.696
Au 0.018 6.665 4.238
Au 0.100 2.222 8.066
Au 1.479 0.029 5.322
Au 1.479 4.414 5.322
Au 2.858 2.222 8.066
Au 2.940 6.665 4.238
Au 2.977 2.222 4.328
Au 3.058 6.665 0.500
Au 4.437 4.473 3.244
Au 4.437 8.858 3.244
Au 5.816 6.665 0.500
Au 5.898 2.222 4.328
```

Calculated values
* magnetic moment: 0.00 Bohr magnetons per cell
* E: -3.5785 eV/atom